No. 1
Material: K2PrPaS4
Method: DFT, PBE-GGA
State: optimized geometry

abc: 7.161 4.107 7.816
angles: 90.00 107.55 90.00
Sites, in units of the cell vectors:
K (0.000, 0.000, 0.000)
K (0.500, 0.500, 0.000)
Pr (0.000, 0.500, 0.500)
Pa (0.500, 0.000, 0.500)
S (0.250, 0.000, 0.711)
S (0.275, 0.500, 0.293)
S (0.725, 0.500, 0.707)
S (0.750, 0.000, 0.289)

formation energy from raw total energies: -1.644 eV/atom
SG: No. 10
calculated density: 4.38 g cm⁻³


No. 2
Material: Nd3CoGe3
Method: DFT, PBE-GGA
State: optimized geometry

abc: 5.960 5.960 14.203
angles: 109.56 109.56 42.62
Sites, in units of the cell vectors:
Nd (0.026, 0.026, 0.383)
Nd (0.097, 0.097, 0.918)
Nd (0.247, 0.247, 0.230)
Nd (0.753, 0.753, 0.770)
Nd (0.903, 0.903, 0.082)
Nd (0.974, 0.974, 0.617)
Co (0.257, 0.257, 0.581)
Co (0.743, 0.743, 0.419)
Ge (0.350, 0.350, 0.452)
Ge (0.378, 0.378, 0.924)
Ge (0.445, 0.445, 0.753)
Ge (0.555, 0.555, 0.247)
Ge (0.622, 0.622, 0.076)
Ge (0.650, 0.650, 0.548)

E_form: -16.7 kcal/mol of atoms
SG: No. 12
calculated density: 7.39 g cm⁻³


No. 3
Material: FeReAu4
Method: DFT, PBE-GGA
State: optimized geometry

abc: 5.365 5.365 5.365
angles: 60.00 60.00 60.00
Sites, in units of the cell vectors:
Fe (0.000, 0.000, 0.000)
Re (0.750, 0.750, 0.750)
Au (0.375, 0.375, 0.375)
Au (0.375, 0.375, 0.875)
Au (0.375, 0.875, 0.375)
Au (0.875, 0.375, 0.375)

E_form: 21.2 kcal/mol of atoms
SG: No. 216
calculated density: 15.67 g cm⁻³